Entry 1:
## HoLuRu2 (PBE)

Data for crystalline HoLuRu2 at its relaxed geometry.

Unit cell a=4.749 b=4.749 c=4.749 alpha=60.00 beta=60.00 gamma=60.00
Fractional coordinates of all 4 atoms:
Ru: 0.000 0.000 0.000
Ru: 0.500 0.500 0.500
Lu: 0.750 0.750 0.750
Ho: 0.250 0.250 0.250

## Properties
Fermi-level density of states: 3.7 states/eV per cell
formation energy from the elements: -0.407 eV per atom
final energy: -7.320 eV per atom



Entry 2:
## PrMgAlHg2 (PBE)

Data for crystalline PrMgAlHg2 at its relaxed geometry.

Unit cell a=4.446 b=4.446 c=6.816 alpha=109.03 beta=109.03 gamma=90.00
Fractional coordinates of all 5 atoms:
Hg: 0.384 0.384 0.768
Pr: 0.000 0.000 0.000
Mg: 0.250 0.750 0.500
Hg: 0.616 0.616 0.232
Al: 0.750 0.250 0.500

## Properties
Fermi-level density of states: 2.9 states/eV per cell
formation energy from the elements: -0.334 eV per atom
final energy: -2.478 eV per atom



Entry 3:
## CrFeAu3 (PBE)

Data for crystalline CrFeAu3 at its relaxed geometry.

Unit cell a=4.800 b=4.800 c=4.800 alpha=90.00 beta=90.00 gamma=90.00
Fractional coordinates of all 5 atoms:
Au: 0.000 0.500 0.000
Cr: 0.500 0.500 0.500
Fe: 0.000 0.000 0.000
Au: 0.500 0.000 0.000
Au: 0.000 0.000 0.500

## Properties
energy relative to the lowest polymorph listed for this composition: 0.000 eV per formula unit
Fermi-level density of states: 3.1 states/eV per cell
formation energy from the elements: 0.848 eV per atom
final energy: -4.735 eV per atom